Entry from Alexandria via LeMat-Bulk: crystalline BaSr3Ti4O12 at its relaxed geometry (GGA-PBE).

Cell lengths 3.967, 3.967, 15.872 Å; angles 90.00, 90.00, 90.00 degrees
Sites, in units of the cell vectors:
Ba1 0.000 0.000 0.000
Sr1 0.000 0.000 0.252
Sr2 0.000 0.000 0.500
Sr3 0.000 0.000 0.748
Ti1 0.500 0.500 0.129
Ti2 0.500 0.500 0.376
Ti3 0.500 0.500 0.624
Ti4 0.500 0.500 0.871
O1 0.000 0.500 0.131
O2 0.000 0.500 0.376
O3 0.000 0.500 0.624
O4 0.000 0.500 0.869
O5 0.500 0.000 0.131
O6 0.500 0.000 0.376
O7 0.500 0.000 0.624
O8 0.500 0.000 0.869
O9 0.500 0.500 0.000
O10 0.500 0.500 0.252
O11 0.500 0.500 0.500
O12 0.500 0.500 0.748

Computed properties:
Symmetry   P4/mmm (123)
ρ   5.211 Mg/m³
Crystal system   tetragonal
Formation energy (no corrections)   -3113 meV per atom

Entry from Alexandria via LeMat-Bulk: crystalline TlAgGe at its relaxed geometry (GGA-PBE).

Cell lengths 5.139, 5.139, 5.878 Å; angles 90.00, 90.00, 120.00 degrees
Sites, in units of the cell vectors:
Tl1 0.333 0.667 0.250
Tl2 0.667 0.333 0.750
Ag1 0.000 0.000 0.000
Ag2 0.000 0.000 0.500
Ge1 0.333 0.667 0.750
Ge2 0.667 0.333 0.250

Computed properties:
E_tot   -0.2154 Ry per atom
Symmetry   P6_3/mmc (194)
ρ   9.508 Mg/m³
Crystal system   hexagonal